Computed, not measured: a relaxed CeDyBiSe crystal at the PBE level of DFT.

Computed properties:
Its space-group type is R3m. The value obtained for the final energy is -22.8 eV for the cell shown. The value obtained for the uncorrected formation energy is -4.90 eV per formula unit.

Unit cell a=4.247 b=4.247 c=7.876 alpha=90.00 beta=105.64 gamma=120.00
Last column: magnetic moment on the atom in μB.
Sites, in units of the cell vectors:
Ce  0.954  0.375  0.344  0.96
Dy  0.321  0.558  0.895  0.01
Bi  0.477  0.137  0.629  -0.04
Se  0.126  0.961  0.102  -0.01

Computed, not measured: a relaxed Ce2SmDyBi5 crystal at the PBE level of DFT.

Computed properties:
Its space-group type is P4/mmm. The energy of formation comes out at -0.037 eV per atom. The value obtained for the final energy is -40.9 eV for the cell shown.

Unit cell a=5.541 b=5.541 c=11.887 alpha=90.00 beta=90.00 gamma=90.00
Last column: magnetic moment on the atom in μB.
Sites, in units of the cell vectors:
Ce  0.500  0.500  0.283  1.05
Ce  0.500  0.500  0.717  1.05
Sm  0.000  0.000  0.500  -0.01
Dy  0.000  0.000  0.000  -0.02
Bi  0.000  0.500  0.500  -0.01
Bi  0.500  0.000  0.500  -0.01
Bi  0.000  0.000  0.755  -0.02
Bi  0.000  0.000  0.245  -0.02
Bi  0.500  0.500  0.000  -0.02

Copy entry 1 word for word.
Computed, not measured: a relaxed CeDyBiSe crystal at the PBE level of DFT.

Computed properties:
Its space-group type is R3m. The value obtained for the final energy is -22.8 eV for the cell shown. The value obtained for the uncorrected formation energy is -4.90 eV per formula unit.

Unit cell a=4.247 b=4.247 c=7.876 alpha=90.00 beta=105.64 gamma=120.00
Last column: magnetic moment on the atom in μB.
Sites, in units of the cell vectors:
Ce  0.954  0.375  0.344  0.96
Dy  0.321  0.558  0.895  0.01
Bi  0.477  0.137  0.629  -0.04
Se  0.126  0.961  0.102  -0.01